La2DyMg3Tl2Ga: relaxed, PBE.

Results
Calculated total energy in eV for the cell shown: -60.7
Magnetic moment in μB/atom: 0.001

a = 4.688 Å, b = 13.193 Å, c = 7.807 Å
α = 90.00°, β = 90.00°, γ = 90.00°
Space group Amm2 (No. 38)
Inequivalent atoms, fractional coordinates:
La: 0.000 0.208 0.000 [4 per cell]
Dy: 0.000 0.000 0.385 [2 per cell]
Mg: 0.500 0.000 0.025 [2 per cell]
Mg: 0.500 0.118 0.672 [4 per cell]
Tl: 0.500 0.160 0.293 [4 per cell]
Ga: 0.000 0.000 0.779 [2 per cell]



LaDy2Ga4Pd: relaxed, PBE.

Results
Calculated total energy in eV for the cell shown: -71.4
Magnetic moment in μB/atom: 0.001

a = 6.709 Å, b = 4.059 Å, c = 13.375 Å
α = 90.00°, β = 90.00°, γ = 90.00°
Space group Amm2 (No. 38)
Inequivalent atoms, fractional coordinates:
La: 0.000 0.000 0.000 [2 per cell]
Dy: 0.000 0.000 0.733 [2 per cell]
Dy: 0.500 0.000 0.188 [2 per cell]
Ga: 0.252 0.000 0.364 [4 per cell]
Ga: 0.315 0.000 0.554 [4 per cell]
Pd: 0.500 0.000 0.925 [2 per cell]



LaDyGa2Pt4: relaxed, PBE.

Results
Calculated total energy in eV for the cell shown: -48.0
Magnetic moment in μB/atom: 0.000

a = 4.4217 Å, b = 4.4217 Å, c = 9.4437 Å
α = 90.00°, β = 90.00°, γ = 120.00°
Space group P-6m2 (No. 187)
Inequivalent atoms, fractional coordinates:
La: 0.0000 0.0000 0.0000 [1 per cell]
Dy: 0.6667 0.3333 0.5000 [1 per cell]
Ga: 0.3333 0.6667 0.2591 [2 per cell]
Pt: 0.0000 0.0000 0.3388 [2 per cell]
Pt: 0.6667 0.3333 0.1840 [2 per cell]



LaDy2YGa4: relaxed, PBE.

Results
Calculated total energy in eV for the cell shown: -75.3
Magnetic moment in μB/atom: 0.000

a = 6.759 Å, b = 4.465 Å, c = 13.164 Å
α = 90.00°, β = 90.00°, γ = 90.00°
Space group Amm2 (No. 38)
Inequivalent atoms, fractional coordinates:
La: 0.000 0.000 0.000 [2 per cell]
Dy: 0.000 0.000 0.279 [2 per cell]
Dy: 0.500 0.000 0.833 [2 per cell]
Y: 0.500 0.000 0.109 [2 per cell]
Ga: 0.197 0.000 0.657 [4 per cell]
Ga: 0.311 0.000 0.457 [4 per cell]



LiDyGa2Pd4: relaxed, PBE.

Results
Calculated total energy in eV for the cell shown: -39.0
Magnetic moment in μB/atom: 0.001

a = 4.510 Å, b = 4.510 Å, c = 6.362 Å
α = 90.00°, β = 90.00°, γ = 90.00°
Space group P4/mmm (No. 123)
Inequivalent atoms, fractional coordinates:
Li: 0.000 0.000 0.000 [1 per cell]
Dy: 0.500 0.500 0.500 [1 per cell]
Ga: 0.000 0.000 0.500 [1 per cell]
Ga: 0.500 0.500 0.000 [1 per cell]
Pd: 0.000 0.500 0.228 [4 per cell]



LiDyGa2Pt4: relaxed, PBE.

Results
Calculated total energy in eV for the cell shown: -43.0
Magnetic moment in μB/atom: 0.000

a = 4.178 Å, b = 4.178 Å, c = 7.316 Å
α = 90.00°, β = 90.00°, γ = 90.00°
Space group P4/mmm (No. 123)
Inequivalent atoms, fractional coordinates:
Li: 0.000 0.000 0.000 [1 per cell]
Dy: 0.500 0.500 0.500 [1 per cell]
Ga: 0.000 0.000 0.500 [1 per cell]
Ga: 0.500 0.500 0.000 [1 per cell]
Pt: 0.000 0.500 0.225 [4 per cell]



DyLuGa: relaxed, PBE.

Results
Distance to the lowest polymorph of the same formula in eV per atom: 0.000
Magnetic moment in μB/atom: 0.001

a = 6.936 Å, b = 6.936 Å, c = 6.936 Å
α = 90.00°, β = 90.00°, γ = 90.00°
Space group F-43m (No. 216)
Inequivalent atoms, fractional coordinates:
Dy: 0.000 0.000 0.000 [4 per cell]
Lu: 0.000 0.000 0.500 [4 per cell]
Ga: 0.250 0.250 0.250 [4 per cell]



Dy2Lu5Ga: relaxed, PBE.

Results
Calculated total energy in eV for the cell shown: -70.6
Magnetic moment in μB/atom: 0.006

a = 5.413 Å, b = 6.889 Å, c = 11.962 Å
α = 90.00°, β = 90.00°, γ = 90.00°
Space group Amm2 (No. 38)
Inequivalent atoms, fractional coordinates:
Dy: 0.000 0.000 0.000 [2 per cell]
Dy: 0.500 0.000 0.343 [2 per cell]
Lu: 0.000 0.244 0.755 [4 per cell]
Lu: 0.500 0.000 0.836 [2 per cell]
Lu: 0.500 0.245 0.586 [4 per cell]
Ga: 0.000 0.000 0.507 [2 per cell]



Dy2LuGa5: relaxed, PBE.

Results
Calculated total energy in eV for the cell shown: -65.5
Magnetic moment in μB/atom: 0.000

a = 4.826 Å, b = 7.036 Å, c = 9.891 Å
α = 90.00°, β = 90.00°, γ = 90.00°
Space group Amm2 (No. 38)
Inequivalent atoms, fractional coordinates:
Dy: 0.000 0.000 0.000 [2 per cell]
Dy: 0.500 0.000 0.326 [2 per cell]
Lu: 0.500 0.000 0.750 [2 per cell]
Ga: 0.000 0.000 0.523 [2 per cell]
Ga: 0.000 0.243 0.256 [4 per cell]
Ga: 0.500 0.216 0.045 [4 per cell]



DyLuGa2: relaxed, PBE.

Results
Calculated total energy in eV for the cell shown: -66.4
Magnetic moment in μB/atom: 0.001

a = 4.939 Å, b = 6.348 Å, c = 11.489 Å
α = 90.00°, β = 90.00°, γ = 90.00°
Space group Amm2 (No. 38)
Inequivalent atoms, fractional coordinates:
Dy: 0.000 0.000 0.000 [2 per cell]
Dy: 0.500 0.000 0.364 [2 per cell]
Lu: 0.500 0.237 0.620 [4 per cell]
Ga: 0.000 0.000 0.534 [2 per cell]
Ga: 0.000 0.246 0.258 [4 per cell]
Ga: 0.500 0.000 0.853 [2 per cell]



DyLuGa2: relaxed, PBE.

Results
Calculated total energy in eV for the cell shown: -65.9
Magnetic moment in μB/atom: 0.001

a = 5.254 Å, b = 11.560 Å, c = 6.055 Å
α = 90.00°, β = 90.00°, γ = 90.00°
Space group Ama2 (No. 40)
Inequivalent atoms, fractional coordinates:
Dy: 0.250 0.180 0.000 [4 per cell]
Lu: 0.250 0.428 0.203 [4 per cell]
Ga: 0.250 0.172 0.503 [4 per cell]
Ga: 0.250 0.431 0.716 [4 per cell]



DyLuGa2: relaxed, PBE.

Results
Calculated total energy in eV for the cell shown: -69.7
Magnetic moment in μB/atom: 0.000

a = 7.046 Å, b = 10.025 Å, c = 4.995 Å
α = 90.00°, β = 90.00°, γ = 90.00°
Space group Cmcm (No. 63)
Inequivalent atoms, fractional coordinates:
Dy: 0.000 0.129 0.250 [4 per cell]
Lu: 0.000 0.373 0.750 [4 per cell]
Ga: 0.247 0.379 0.250 [8 per cell]



DyLuGa2Pd4: relaxed, PBE.

Results
Calculated total energy in eV for the cell shown: -43.1
Magnetic moment in μB/atom: 0.001

a = 4.3865 Å, b = 4.3865 Å, c = 8.9664 Å
α = 90.00°, β = 90.00°, γ = 120.00°
Space group P-6m2 (No. 187)
Inequivalent atoms, fractional coordinates:
Dy: 0.0000 0.0000 0.0000 [1 per cell]
Lu: 0.3333 0.6667 0.5000 [1 per cell]
Ga: 0.6667 0.3333 0.2513 [2 per cell]
Pd: 0.0000 0.0000 0.3362 [2 per cell]
Pd: 0.3333 0.6667 0.1708 [2 per cell]



DyLuGa2Pt4: relaxed, PBE.

Results
Calculated total energy in eV for the cell shown: -48.0
Magnetic moment in μB/atom: 0.001

a = 4.3711 Å, b = 4.3711 Å, c = 9.0289 Å
α = 90.00°, β = 90.00°, γ = 120.00°
Space group P-6m2 (No. 187)
Inequivalent atoms, fractional coordinates:
Dy: 0.0000 0.0000 0.0000 [1 per cell]
Lu: 0.6667 0.3333 0.5000 [1 per cell]
Ga: 0.3333 0.6667 0.2508 [2 per cell]
Pt: 0.0000 0.0000 0.3401 [2 per cell]
Pt: 0.6667 0.3333 0.1674 [2 per cell]



DyMgGa: relaxed, PBE.

Results
Calculated total energy in eV for the cell shown: -32.0
Magnetic moment in μB/atom: 0.000

a = 7.2636 Å, b = 7.2636 Å, c = 4.4333 Å
α = 90.00°, β = 90.00°, γ = 120.00°
Space group P-62m (No. 189)
Inequivalent atoms, fractional coordinates:
Dy: 0.0000 0.4262 0.0000 [3 per cell]
Mg: 0.0000 0.7564 0.5000 [3 per cell]
Ga: 0.0000 0.0000 0.0000 [1 per cell]
Ga: 0.3333 0.6667 0.5000 [2 per cell]



Nd2DyMg3TlGa2: relaxed, PBE.

Results
Calculated total energy in eV for the cell shown: -62.4
Magnetic moment in μB/atom: 0.001

a = 4.619 Å, b = 12.854 Å, c = 7.501 Å
α = 90.00°, β = 90.00°, γ = 90.00°
Space group Amm2 (No. 38)
Inequivalent atoms, fractional coordinates:
Nd: 0.000 0.218 0.000 [4 per cell]
Dy: 0.000 0.000 0.654 [2 per cell]
Mg: 0.500 0.000 0.969 [2 per cell]
Mg: 0.500 0.124 0.344 [4 per cell]
Tl: 0.000 0.000 0.224 [2 per cell]
Ga: 0.500 0.164 0.718 [4 per cell]



DyMg4GaPd2: relaxed, PBE.

Results
Calculated total energy in eV for the cell shown: -49.6
Magnetic moment in μB/atom: 0.000

a = 7.382 Å, b = 4.913 Å, c = 12.877 Å
α = 90.00°, β = 90.00°, γ = 90.00°
Space group Amm2 (No. 38)
Inequivalent atoms, fractional coordinates:
Dy: 0.000 0.000 0.000 [2 per cell]
Mg: 0.221 0.000 0.622 [4 per cell]
Mg: 0.308 0.000 0.333 [4 per cell]
Ga: 0.000 0.000 0.219 [2 per cell]
Pd: 0.000 0.000 0.428 [2 per cell]
Pd: 0.000 0.000 0.786 [2 per cell]



Dy3Mg3GaPdPt: relaxed, PBE.

Results
Calculated total energy in eV for the cell shown: -39.1
Magnetic moment in μB/atom: 0.006

a = 7.5949 Å, b = 7.5949 Å, c = 3.9668 Å
α = 90.00°, β = 90.00°, γ = 120.00°
Space group P-6 (No. 174)
Inequivalent atoms, fractional coordinates:
Dy: 0.0167 0.5965 0.0000 [3 per cell]
Mg: 0.2472 0.0040 0.5000 [3 per cell]
Ga: 0.6667 0.3333 0.5000 [1 per cell]
Pd: 0.0000 0.0000 0.0000 [1 per cell]
Pt: 0.3333 0.6667 0.5000 [1 per cell]



Tb2DyMg3Ga3: relaxed, PBE.

Results
Calculated total energy in eV for the cell shown: -64.2
Magnetic moment in μB/atom: 0.000

a = 4.443 Å, b = 12.611 Å, c = 7.295 Å
α = 90.00°, β = 90.00°, γ = 90.00°
Space group Amm2 (No. 38)
Inequivalent atoms, fractional coordinates:
Tb: 0.000 0.213 0.000 [4 per cell]
Dy: 0.000 0.000 0.640 [2 per cell]
Mg: 0.500 0.000 0.970 [2 per cell]
Mg: 0.500 0.122 0.335 [4 per cell]
Ga: 0.000 0.000 0.214 [2 per cell]
Ga: 0.500 0.166 0.713 [4 per cell]



Dy3Mg3Tl2Ga: relaxed, PBE.

Results
Calculated total energy in eV for the cell shown: -29.5
Magnetic moment in μB/atom: 0.000

a = 7.5232 Å, b = 7.5232 Å, c = 4.5363 Å
α = 90.00°, β = 90.00°, γ = 120.00°
Space group P-62m (No. 189)
Inequivalent atoms, fractional coordinates:
Dy: 0.0000 0.5836 0.0000 [3 per cell]
Mg: 0.0000 0.2366 0.5000 [3 per cell]
Tl: 0.3333 0.6667 0.5000 [2 per cell]
Ga: 0.0000 0.0000 0.0000 [1 per cell]



DyGaMo: relaxed, PBE.

Results
Calculated total energy in eV for the cell shown: -70.1
Magnetic moment in μB/atom: 0.363

a = 6.422 Å, b = 6.422 Å, c = 6.422 Å
α = 90.00°, β = 90.00°, γ = 90.00°
Space group F-43m (No. 216)
Inequivalent atoms, fractional coordinates:
Dy: 0.000 0.000 0.000 [4 per cell]
Ga: 0.250 0.250 0.250 [4 per cell]
Mo: 0.000 0.000 0.500 [4 per cell]



NaDyGa: relaxed, PBE.

Results
Distance to the lowest polymorph of the same formula in eV per atom: 0.336
Magnetic moment in μB/atom: 0.245

a = 7.029 Å, b = 7.029 Å, c = 7.029 Å
α = 90.00°, β = 90.00°, γ = 90.00°
Space group F-43m (No. 216)
Inequivalent atoms, fractional coordinates:
Na: 0.000 0.000 0.000 [4 per cell]
Dy: 0.250 0.250 0.750 [4 per cell]
Ga: 0.000 0.000 0.500 [4 per cell]



NaDyGa: relaxed, PBE.

Results
Distance to the lowest polymorph of the same formula in eV per atom: 0.000
Magnetic moment in μB/atom: 0.309

a = 6.972 Å, b = 6.972 Å, c = 6.972 Å
α = 90.00°, β = 90.00°, γ = 90.00°
Space group F-43m (No. 216)
Inequivalent atoms, fractional coordinates:
Na: 0.000 0.000 0.000 [4 per cell]
Dy: 0.000 0.000 0.500 [4 per cell]
Ga: 0.250 0.250 0.750 [4 per cell]



NaDyGa4Pt2: relaxed, PBE.

Results
Calculated total energy in eV for the cell shown: -71.2
Magnetic moment in μB/atom: 0.003

a = 6.833 Å, b = 4.309 Å, c = 10.069 Å
α = 90.00°, β = 90.00°, γ = 90.00°
Space group Amm2 (No. 38)
Inequivalent atoms, fractional coordinates:
Na: 0.000 0.000 0.000 [2 per cell]
Dy: 0.500 0.000 0.843 [2 per cell]
Ga: 0.194 0.000 0.285 [4 per cell]
Ga: 0.296 0.000 0.556 [4 per cell]
Pt: 0.000 0.000 0.718 [2 per cell]
Pt: 0.500 0.000 0.128 [2 per cell]



NaDyGaTe3: relaxed, PBE.

Results
Calculated total energy in eV for the cell shown: -93.5
Magnetic moment in μB/atom: 0.001

a = 4.617 Å, b = 14.547 Å, c = 11.534 Å
α = 90.00°, β = 90.00°, γ = 90.00°
Space group Cmcm (No. 63)
Inequivalent atoms, fractional coordinates:
Na: 0.000 0.234 0.250 [4 per cell]
Dy: 0.000 0.000 0.000 [4 per cell]
Ga: 0.000 0.481 0.750 [4 per cell]
Te: 0.000 0.087 0.750 [4 per cell]
Te: 0.000 0.363 0.562 [8 per cell]